Record 1
Below is Zr2VSbIr after structural relaxation, with properties calculated at the GGA-PBE level.

Values from the calculation:
**Energy relative to the elements, uncorrected**: 1.2264 eV/atom
**Uncorrected energy**: -33.07 eV per cell
**Calculated volume**: 25.41 Å³ per atom
**Calculated density**: 7.2 g cm⁻³
**Space-group type**: P4/mmm

Unit cell a=5.2045 b=5.2045 c=4.6908 alpha=90.00 beta=90.00 gamma=90.00
Closest atoms and distances in Å follow each position.
Element x y z (fractional)
Zr: 0.0000 0.5000 0.0000  2 Sb 2.60
Zr: 0.5000 0.0000 0.0000  2 Sb 2.60
V: 0.0000 0.0000 0.5000  2 Sb 2.35
Sb: 0.0000 0.0000 0.0000  2 V 2.35, 4 Zr 2.60
Ir: 0.5000 0.5000 0.5000  8 Zr 3.50, 4 V 3.68

***

Record 2
Below is NbHF2 after structural relaxation, with properties calculated at the GGA-PBE level.

Values from the calculation:
**Energy above the lowest structure with this stoichiometry**: 0 meV per atom
**Uncorrected energy**: -21.76 eV per cell
**Calculated volume**: 10.94 Å³ per atom
**Calculated density**: 5.0 g cm⁻³
**Space-group type**: R-3m

Unit cell a=6.4783 b=6.4783 c=6.4783 alpha=25.31 beta=25.31 gamma=25.31
Closest atoms and distances in Å follow each position.
Element x y z (fractional)
Nb: 0.0000 0.0000 0.0000  6 F 2.57, 6 Nb 2.84
H: 0.5000 0.5000 0.5000  2 F 1.15
F: 0.4388 0.4388 0.4388  1 H 1.15
F: 0.5612 0.5612 0.5612  1 H 1.15

***

Record 3
Below is La4Pr2Ho5 after structural relaxation, with properties calculated at the GGA-PBE level.

Values from the calculation:
**DFT formation energy**: 0.094 eV per atom
**Energy above the lowest structure with this stoichiometry**: 0 meV per atom
**Uncorrected energy**: -51.13 eV per cell
**Calculated volume**: 34.41 Å³ per atom
**Calculated density**: 7.3 g cm⁻³
**Space-group type**: C2/m

Unit cell a=10.1262 b=10.1262 c=6.7524 alpha=90.64 beta=90.64 gamma=33.14
Closest atoms and distances in Å follow each position.
Element x y z (fractional)
La: 0.0210 0.0210 0.2887  1 La 2.98, 1 Ho 3.16
La: 0.3058 0.3058 0.9193  7 Ho 3.40-3.80, 1 Pr 3.72, 2 La 3.78
La: 0.6942 0.6942 0.0807  7 Ho 3.40-3.80, 1 Pr 3.72, 2 La 3.78
La: 0.9790 0.9790 0.7113  1 La 2.98, 1 Ho 3.16
Pr: 0.4001 0.4001 0.4431  6 Ho 3.58-3.75, 6 La 3.72-3.96, 1 Pr 3.94
Pr: 0.5999 0.5999 0.5569  6 Ho 3.58-3.75, 6 La 3.72-3.96, 1 Pr 3.94
Ho: 0.1308 0.1308 0.8862  5 La 3.16-3.47
Ho: 0.2101 0.2101 0.4021  4 Ho 3.53-3.79, 5 La 3.62-3.94, 3 Pr 3.70-3.75
Ho: 0.5000 0.5000 0.0000  6 La 3.51-3.80, 2 Pr 3.58
Ho: 0.7899 0.7899 0.5979  4 Ho 3.53-3.79, 5 La 3.62-3.94, 3 Pr 3.70-3.75
Ho: 0.8692 0.8692 0.1138  5 La 3.16-3.47

***

Record 4
Below is BaAc2Ge after structural relaxation, with properties calculated at the GGA-PBE level.

Values from the calculation:
**DFT formation energy**: -0.269 eV per atom
**Energy above the lowest structure with this stoichiometry**: 0 meV per atom
**Uncorrected energy**: -15.83 eV per cell
**Calculated volume**: 47.15 Å³ per atom
**Calculated density**: 5.8 g cm⁻³
**Space-group type**: R3m

Unit cell a=11.1546 b=11.1546 c=11.1546 alpha=23.17 beta=23.17 gamma=23.17
Closest atoms and distances in Å follow each position.
Element x y z (fractional)
Ba: 0.0000 0.0000 0.0000  6 Ac 4.46-4.50, 6 Ba 4.48
Ac: 0.2219 0.2219 0.2219  3 Ge 3.12
Ac: 0.4463 0.4463 0.4463  3 Ge 3.15
Ge: 0.8349 0.8349 0.8349  6 Ac 3.12-3.15

***

The highest uncorrected energy belongs to which entry? BaAc2Ge

***

What is the formula in the third record? La4Pr2Ho5

***

Among the records above, which one has the highest uncorrected energy? BaAc2Ge

***

Which formula does entry 2 have? NbHF2